# 1
{
  "formula": "YErPdAu",
  "functional": "GGA-PBE",
  "state": "relaxed",
  "dft_energy_ev_per_cell": -23.0,
  "polymorph_energy_ev_per_atom": 0.041,
  "formation_energy_ev_per_atom": -0.874,
  "lattice": [[0.000, 3.544, 3.544], [3.544, 0.000, 3.544], [3.544, 3.544, 0.000]],
  "species": ["Y", "Er", "Pd", "Au"],
  "frac_coords": [[0.000, 0.000, 0.000], [0.500, 0.500, 0.500], [0.250, 0.250, 0.250], [0.750, 0.750, 0.750]]
}



# 2
{
  "formula": "Mg2Hg8Pb",
  "functional": "GGA-PBE",
  "state": "relaxed",
  "dft_energy_ev_per_cell": -9.7,
  "formation_energy_ev_per_atom": -0.038,
  "lattice": [[9.329, -1.775, 0.000], [9.329, 1.775, 0.000], [-1.643, 0.000, 8.360]],
  "species": ["Mg", "Mg", "Hg", "Hg", "Hg", "Hg", "Hg", "Hg", "Hg", "Hg", "Pb"],
  "frac_coords": [[0.227, 0.227, 0.312], [0.773, 0.773, 0.688], [0.038, 0.038, 0.854], [0.149, 0.149, 0.589], [0.321, 0.321, 0.062], [0.398, 0.398, 0.773], [0.602, 0.602, 0.227], [0.679, 0.679, 0.938], [0.851, 0.851, 0.411], [0.962, 0.962, 0.146], [0.500, 0.500, 0.500]]
}